# 1
Material: ErTmCF2
Method: DFT, PBE
State: relaxed

Unit cell a=3.570 b=3.570 c=6.259 alpha=90.00 beta=90.00 gamma=120.00
Positions (direct):
Tm1 0.333 0.667 0.212
F1 0.667 0.333 0.382
F2 0.333 0.667 0.613
C1 0.000 0.000 0.002
Er1 0.667 0.333 0.791

Output
The total magnetization comes out at 0.000 μB per atom. The crystal system is trigonal. The raw total energy is -6.86 eV/atom. The space group is P3m1.

=====

# 2
Material: AlNi6Sb
Method: DFT, PBE
State: relaxed

Unit cell a=5.532 b=5.532 c=5.532 alpha=60.00 beta=60.00 gamma=60.00
Positions (direct):
Ni1 0.968 0.968 0.532
Ni2 0.532 0.968 0.968
Ni3 0.532 0.968 0.532
Ni4 0.532 0.532 0.968
Ni5 0.968 0.532 0.532
Ni6 0.968 0.532 0.968
Al1 0.250 0.250 0.250
Sb1 0.000 0.000 0.000

Output
The total magnetization comes out at 0.005 μB per atom. The crystal system is cubic. The raw total energy is -4.81 eV/atom. The space group is F-43m.

=====

Q: Among the records above, which one has the highest total magnetization?
A: AlNi6Sb